# 1
# TlRhBr2, optimized geometry, DFT GGA-PBE
# Energy relative to the elements, uncorrected, meV/atom: -49
# Excess energy over the best structure of this formula in the dataset, eV/atom: 0.249
# Total moment, μB per formula unit: 0.0
# Final energy, eV per formula unit: -13.3
data_TlRhBr2
_symmetry_space_group_name_H-M 'I -4 2 d'
_symmetry_Int_Tables_number 122
_symmetry_space_group_name_Hall 'I -4 2bw'
_cell_length_a 6.218
_cell_length_b 6.218
_cell_length_c 14.228
_cell_angle_alpha 90.00
_cell_angle_beta 90.00
_cell_angle_gamma 90.00
loop_
_atom_site_label
_atom_site_type_symbol
_atom_site_fract_x
_atom_site_fract_y
_atom_site_fract_z
Tl1 Tl 0.000 0.000 0.000
Rh1 Rh 0.000 0.000 0.500
Br1 Br 0.139 0.250 0.625

***

# 2
# Tm3SBr7, optimized geometry, DFT GGA-PBE
# Energy relative to the elements, uncorrected, meV/atom: -1880
# Total moment, μB per formula unit: 0.0
# Final energy, eV per formula unit: -49.9
data_Tm3SBr7
_symmetry_space_group_name_H-M 'P 3 m 1'
_symmetry_Int_Tables_number 156
_symmetry_space_group_name_Hall 'P 3 -2"'
_cell_length_a 8.0979
_cell_length_b 8.0979
_cell_length_c 7.0715
_cell_angle_alpha 90.00
_cell_angle_beta 90.00
_cell_angle_gamma 120.00
loop_
_atom_site_label
_atom_site_type_symbol
_atom_site_fract_x
_atom_site_fract_y
_atom_site_fract_z
Tm1 Tm 0.1743 0.3485 0.0000
S1 S 0.3333 0.6667 0.8098
Br1 Br 0.0000 0.0000 0.2325
Br2 Br 0.0084 0.5042 0.2308
Br3 Br 0.3210 0.1605 0.7895

***

# 3
# KFeAg3, optimized geometry, DFT GGA-PBE
# Energy of formation from the pure elements, eV/atom: 0.56
# Excess energy over the best structure of this formula in the dataset, eV/atom: 0.000
# Total moment, μB per formula unit: 3.1
# Final energy, eV per formula unit: -15.3
data_KFeAg3
_symmetry_space_group_name_H-M 'P m -3 m'
_symmetry_Int_Tables_number 221
_symmetry_space_group_name_Hall '-P 4 2 3'
_cell_length_a 5.085
_cell_length_b 5.085
_cell_length_c 5.085
_cell_angle_alpha 90.00
_cell_angle_beta 90.00
_cell_angle_gamma 90.00
loop_
_atom_site_label
_atom_site_type_symbol
_atom_site_fract_x
_atom_site_fract_y
_atom_site_fract_z
K1 K 0.000 0.000 0.000
Fe1 Fe 0.500 0.500 0.500
Ag1 Ag 0.000 0.500 0.500

***

# 4
# Sr2Ga3SbPd4, optimized geometry, DFT GGA-PBE
# Energy relative to the elements, uncorrected, meV/atom: -732
# Total moment, μB per formula unit: 0.0
# Final energy, eV per formula unit: -44.7
data_Sr2Ga3SbPd4
_symmetry_space_group_name_H-M 'P -4 m 2'
_symmetry_Int_Tables_number 115
_symmetry_space_group_name_Hall 'P -4 -2'
_cell_length_a 4.561
_cell_length_b 4.561
_cell_length_c 10.251
_cell_angle_alpha 90.00
_cell_angle_beta 90.00
_cell_angle_gamma 90.00
loop_
_atom_site_label
_atom_site_type_symbol
_atom_site_fract_x
_atom_site_fract_y
_atom_site_fract_z
Sr1 Sr 0.000 0.500 0.242
Ga1 Ga 0.000 0.500 0.885
Ga2 Ga 0.500 0.500 0.500
Sb1 Sb 0.000 0.000 0.500
Pd1 Pd 0.000 0.000 0.000
Pd2 Pd 0.000 0.500 0.638
Pd3 Pd 0.500 0.500 0.000

***

# 5
# Pm4Hg2Ge3, optimized geometry, DFT GGA-PBE
# Energy of formation from the pure elements, eV/atom: -0.53
# Total moment, μB per formula unit: 0.0
# Final energy, eV per formula unit: -38.2
data_Pm4Hg2Ge3
_symmetry_space_group_name_H-M 'C m c e'
_symmetry_Int_Tables_number 64
_symmetry_space_group_name_Hall '-C 2ac 2'
_cell_length_a 8.058
_cell_length_b 15.162
_cell_length_c 8.186
_cell_angle_alpha 90.00
_cell_angle_beta 90.00
_cell_angle_gamma 90.00
loop_
_atom_site_label
_atom_site_type_symbol
_atom_site_fract_x
_atom_site_fract_y
_atom_site_fract_z
Pm1 Pm 0.000 0.198 0.023
Pm2 Pm 0.250 0.040 0.750
Hg1 Hg 0.000 0.105 0.408
Ge1 Ge 0.000 0.000 0.000
Ge2 Ge 0.250 0.236 0.750

***

# 6
# ZnCd3Hg7, optimized geometry, DFT GGA-PBE
# Energy of formation from the pure elements, eV/atom: 0.05
# Total moment, μB per formula unit: 0.0
# Final energy, eV per formula unit: -5.6
data_ZnCd3Hg7
_symmetry_space_group_name_H-M 'C 1 m 1'
_symmetry_Int_Tables_number 8
_symmetry_space_group_name_Hall 'C -2y'
_cell_length_a 15.619
_cell_length_b 8.021
_cell_length_c 4.827
_cell_angle_alpha 90.00
_cell_angle_beta 107.16
_cell_angle_gamma 90.00
loop_
_atom_site_label
_atom_site_type_symbol
_atom_site_fract_x
_atom_site_fract_y
_atom_site_fract_z
Zn1 Zn 0.000 0.000 0.000
Cd1 Cd 0.060 0.500 0.299
Cd2 Cd 0.493 0.190 0.729
Hg1 Hg 0.101 0.000 0.578
Hg2 Hg 0.185 0.232 0.148
Hg3 Hg 0.248 0.500 0.684
Hg4 Hg 0.308 0.000 0.659
Hg5 Hg 0.377 0.278 0.150

***

# 7
# TlTc4As, optimized geometry, DFT GGA-PBE
# Energy of formation from the pure elements, eV/atom: 0.62
# Total moment, μB per formula unit: 0.0
# Final energy, eV per formula unit: -44.8
data_TlTc4As
_symmetry_space_group_name_H-M 'F -4 3 m'
_symmetry_Int_Tables_number 216
_symmetry_space_group_name_Hall 'F -4 2 3'
_cell_length_a 7.440
_cell_length_b 7.440
_cell_length_c 7.440
_cell_angle_alpha 90.00
_cell_angle_beta 90.00
_cell_angle_gamma 90.00
loop_
_atom_site_label
_atom_site_type_symbol
_atom_site_fract_x
_atom_site_fract_y
_atom_site_fract_z
Tl1 Tl 0.000 0.000 0.000
Tc1 Tc 0.124 0.124 0.376
As1 As 0.250 0.250 0.750

***

# 8
# Tc3SeI, optimized geometry, DFT GGA-PBE
# Energy relative to the elements, uncorrected, meV/atom: 2123
# Excess energy over the best structure of this formula in the dataset, eV/atom: 0.781
# Total moment, μB per formula unit: 3.8
# Final energy, eV per formula unit: -25.5
data_Tc3SeI
_symmetry_space_group_name_H-M 'P m -3 m'
_symmetry_Int_Tables_number 221
_symmetry_space_group_name_Hall '-P 4 2 3'
_cell_length_a 4.879
_cell_length_b 4.879
_cell_length_c 4.879
_cell_angle_alpha 90.00
_cell_angle_beta 90.00
_cell_angle_gamma 90.00
loop_
_atom_site_label
_atom_site_type_symbol
_atom_site_fract_x
_atom_site_fract_y
_atom_site_fract_z
Tc1 Tc 0.000 0.000 0.500
Se1 Se 0.500 0.500 0.500
I1 I 0.000 0.000 0.000

***

- Number 6 is which compound?
  ZnCd3Hg7

***

- What is the total moment in the first record?
  0.0 μB per formula unit